Record 1
# Li3PrPd3, optimized geometry, DFT GGA-PBE
data_Li3PrPd3
_chemical_formula_sum 'Li6 Pr2 Pd6'
_symmetry_space_group_name_H-M 'P m -3 n'
_symmetry_Int_Tables_number 223
_symmetry_space_group_name_Hall '-P 4n 2 3'
_cell_length_a 6.460
_cell_length_b 6.460
_cell_length_c 6.460
_cell_angle_alpha 90.00
_cell_angle_beta 90.00
_cell_angle_gamma 90.00
loop_
_atom_site_label
_atom_site_fract_x
_atom_site_fract_y
_atom_site_fract_z
Li1 0.000 0.250 0.500
Pr1 0.000 0.000 0.000
Pd1 0.000 0.500 0.250
# Formation energy from the elements ... -0.31 eV per formula unit

***

Record 2
# Cr3SiTe, optimized geometry, DFT GGA-PBE
data_Cr3SiTe
_chemical_formula_sum 'Cr3 Si1 Te1'
_symmetry_space_group_name_H-M 'P m -3 m'
_symmetry_Int_Tables_number 221
_symmetry_space_group_name_Hall '-P 4 2 3'
_cell_length_a 4.714
_cell_length_b 4.714
_cell_length_c 4.714
_cell_angle_alpha 90.00
_cell_angle_beta 90.00
_cell_angle_gamma 90.00
loop_
_atom_site_label
_atom_site_fract_x
_atom_site_fract_y
_atom_site_fract_z
Cr1 0.000 0.000 0.500
Si1 0.000 0.000 0.000
Te1 0.500 0.500 0.500
# Raw formation energy ... 14.5 kcal/mol of atoms

***

Record 3
# LiCaOs2, optimized geometry, DFT GGA-PBE
data_LiCaOs2
_chemical_formula_sum 'Li1 Ca1 Os2'
_symmetry_space_group_name_H-M 'P m m 2'
_symmetry_Int_Tables_number 25
_cell_length_a 2.855
_cell_length_b 3.834
_cell_length_c 6.476
_cell_angle_alpha 90.00
_cell_angle_beta 90.00
_cell_angle_gamma 90.00
loop_
_symmetry_equiv_pos_as_xyz
'x,y,z'
'-x,-y,z'
'-x,y,z'
'x,-y,z'
loop_
_atom_site_label
_atom_site_fract_x
_atom_site_fract_y
_atom_site_fract_z
Li1 0.000 0.000 0.000
Ca1 0.500 0.500 0.698
Os1 0.000 0.000 0.387
Os2 0.500 0.500 0.229
# Formation energy from the elements ... 1.26 eV per formula unit

***

Record 4
# LiCa3Zr, optimized geometry, DFT GGA-PBE
data_LiCa3Zr
_chemical_formula_sum 'Li1 Ca3 Zr1'
_symmetry_space_group_name_H-M 'P m -3 m'
_symmetry_Int_Tables_number 221
_symmetry_space_group_name_Hall '-P 4 2 3'
_cell_length_a 5.936
_cell_length_b 5.936
_cell_length_c 5.936
_cell_angle_alpha 90.00
_cell_angle_beta 90.00
_cell_angle_gamma 90.00
loop_
_atom_site_label
_atom_site_fract_x
_atom_site_fract_y
_atom_site_fract_z
Li1 0.000 0.000 0.000
Ca1 0.000 0.500 0.500
Zr1 0.500 0.500 0.500
# Formation energy from the elements ... 4.21 eV per formula unit

***

Record 5
# RbBe2AsO6, optimized geometry, DFT GGA-PBE
data_RbBe2AsO6
_chemical_formula_sum 'Rb4 Be8 As4 O24'
_symmetry_space_group_name_H-M 'C 1 2/c 1'
_symmetry_Int_Tables_number 15
_cell_length_a 8.535
_cell_length_b 11.439
_cell_length_c 5.777
_cell_angle_alpha 90.00
_cell_angle_beta 112.99
_cell_angle_gamma 90.00
loop_
_symmetry_equiv_pos_as_xyz
'x,y,z'
'-x,-y,-z'
'-x,y,-z+1/2'
'x,-y,z+1/2'
'x+1/2,y+1/2,z'
'-x+1/2,-y+1/2,-z'
'-x+1/2,y+1/2,-z+1/2'
'x+1/2,-y+1/2,z+1/2'
loop_
_atom_site_label
_atom_site_fract_x
_atom_site_fract_y
_atom_site_fract_z
Rb1 0.000 0.100 0.250
Be1 0.140 0.417 0.080
As1 0.000 0.216 0.750
O1 0.025 0.299 0.006
O2 0.096 0.497 0.305
O3 0.161 0.116 0.800
# Raw formation energy ... -38.8 kcal/mol of atoms

***

Record 6
# RbTl2HgPd, optimized geometry, DFT GGA-PBE
data_RbTl2HgPd
_chemical_formula_sum 'Rb1 Tl2 Hg1 Pd1'
_symmetry_space_group_name_H-M 'P 4/m m m'
_symmetry_Int_Tables_number 123
_symmetry_space_group_name_Hall '-P 4 2'
_cell_length_a 5.429
_cell_length_b 5.429
_cell_length_c 5.512
_cell_angle_alpha 90.00
_cell_angle_beta 90.00
_cell_angle_gamma 90.00
loop_
_atom_site_label
_atom_site_fract_x
_atom_site_fract_y
_atom_site_fract_z
Rb1 0.000 0.000 0.000
Tl1 0.000 0.500 0.500
Hg1 0.500 0.500 0.000
Pd1 0.500 0.500 0.500
# Formation energy from the elements ... -0.66 eV per formula unit

***

Record 7
# CsRb2BaI5, optimized geometry, DFT GGA-PBE
data_CsRb2BaI5
_chemical_formula_sum 'Cs1 Rb2 Ba1 I5'
_symmetry_space_group_name_H-M 'P 4/m m m'
_symmetry_Int_Tables_number 123
_symmetry_space_group_name_Hall '-P 4 2'
_cell_length_a 6.584
_cell_length_b 6.584
_cell_length_c 13.953
_cell_angle_alpha 90.00
_cell_angle_beta 90.00
_cell_angle_gamma 90.00
loop_
_atom_site_label
_atom_site_fract_x
_atom_site_fract_y
_atom_site_fract_z
Cs1 0.000 0.000 0.000
Rb1 0.500 0.500 0.281
Ba1 0.000 0.000 0.500
I1 0.000 0.000 0.257
I2 0.000 0.500 0.500
I3 0.500 0.500 0.000
# Raw formation energy ... -34.2 kcal/mol of atoms

***

Record 8
# BaSr2P, optimized geometry, DFT GGA-PBE
data_BaSr2P
_chemical_formula_sum 'Ba1 Sr2 P1'
_symmetry_space_group_name_H-M 'P 4/m m m'
_symmetry_Int_Tables_number 123
_symmetry_space_group_name_Hall '-P 4 2'
_cell_length_a 5.179
_cell_length_b 5.179
_cell_length_c 5.270
_cell_angle_alpha 90.00
_cell_angle_beta 90.00
_cell_angle_gamma 90.00
loop_
_atom_site_label
_atom_site_fract_x
_atom_site_fract_y
_atom_site_fract_z
Ba1 0.000 0.000 0.000
Sr1 0.000 0.500 0.500
P1 0.500 0.500 0.000
# Formation energy from the elements ... -0.82 eV per formula unit

***

Record 9
# Na2ZnSn6, optimized geometry, DFT GGA-PBE
data_Na2ZnSn6
_chemical_formula_sum 'Na4 Zn2 Sn12'
_symmetry_space_group_name_H-M 'C 1 2/m 1'
_symmetry_Int_Tables_number 12
_cell_length_a 11.772
_cell_length_b 6.777
_cell_length_c 6.167
_cell_angle_alpha 90.00
_cell_angle_beta 90.12
_cell_angle_gamma 90.00
loop_
_symmetry_equiv_pos_as_xyz
'x,y,z'
'-x,-y,-z'
'-x,y,-z'
'x,-y,z'
'x+1/2,y+1/2,z'
'-x+1/2,-y+1/2,-z'
'-x+1/2,y+1/2,-z'
'x+1/2,-y+1/2,z'
loop_
_atom_site_label
_atom_site_fract_x
_atom_site_fract_y
_atom_site_fract_z
Na1 0.167 0.000 0.335
Zn1 0.000 0.500 0.500
Sn1 0.088 0.236 0.815
Sn2 0.176 0.500 0.186
# Formation energy from the elements ... -0.63 eV per formula unit

***

Record 10
# Sc2AlGa3, optimized geometry, DFT GGA-PBE
data_Sc2AlGa3
_chemical_formula_sum 'Sc8 Al4 Ga12'
_symmetry_space_group_name_H-M 'I m m a'
_symmetry_Int_Tables_number 74
_symmetry_space_group_name_Hall '-I 2b 2'
_cell_length_a 6.138
_cell_length_b 13.879
_cell_length_c 5.226
_cell_angle_alpha 90.00
_cell_angle_beta 90.00
_cell_angle_gamma 90.00
loop_
_atom_site_label
_atom_site_fract_x
_atom_site_fract_y
_atom_site_fract_z
Sc1 0.250 0.093 0.250
Al1 0.000 0.250 0.501
Ga1 0.000 0.087 0.749
Ga2 0.000 0.250 0.011
# Formation energy from the elements ... -2.73 eV per formula unit

***

Record 11
# LaCr2Rh, optimized geometry, DFT GGA-PBE
data_LaCr2Rh
_chemical_formula_sum 'La3 Cr6 Rh3'
_symmetry_space_group_name_H-M 'R -3 m'
_symmetry_Int_Tables_number 166
_symmetry_space_group_name_Hall '-R 3 2"'
_cell_length_a 2.8299
_cell_length_b 2.8299
_cell_length_c 28.4924
_cell_angle_alpha 90.00
_cell_angle_beta 90.00
_cell_angle_gamma 120.00
loop_
_atom_site_label
_atom_site_fract_x
_atom_site_fract_y
_atom_site_fract_z
La1 0.0000 0.0000 0.0000
Cr1 0.0000 0.0000 0.2378
Rh1 0.0000 0.0000 0.5000
# Formation energy from the elements ... 3.27 eV per formula unit

***

Record 12
# Ba6Na2PtI, optimized geometry, DFT GGA-PBE
data_Ba6Na2PtI
_chemical_formula_sum 'Ba12 Na4 Pt2 I2'
_symmetry_space_group_name_H-M 'P 1 21/c 1'
_symmetry_Int_Tables_number 14
_cell_length_a 8.371
_cell_length_b 9.781
_cell_length_c 14.947
_cell_angle_alpha 90.00
_cell_angle_beta 121.53
_cell_angle_gamma 90.00
loop_
_symmetry_equiv_pos_as_xyz
'x,y,z'
'-x,-y,-z'
'-x,y+1/2,-z+1/2'
'x,-y+1/2,z+1/2'
loop_
_atom_site_label
_atom_site_fract_x
_atom_site_fract_y
_atom_site_fract_z
Ba1 0.104 0.031 0.234
Ba2 0.201 0.714 0.055
Ba3 0.370 0.160 0.049
Na1 0.309 0.106 0.742
Pt1 0.000 0.000 0.000
I1 0.500 0.000 0.500
# Raw formation energy ... -10.3 kcal/mol of atoms